1.
A plane-wave DFT calculation with GGA-PBE was carried out for crystalline La4PrCo at its relaxed geometry.

Structure (extended XYZ):
```
12
Lattice="2.917 -9.307 0.000 2.917 9.307 0.000 0.000 0.000 7.624" Properties=species:S:1:pos:R:3 pbc="T T T"
La 2.917 9.304 7.621
La 2.917 -9.304 3.810
La 2.917 5.560 3.812
La 2.917 5.553 7.609
La 2.917 2.048 1.900
La 2.917 -2.048 5.712
La 2.917 -5.553 3.797
La 2.917 -5.560 0.000
Pr 2.917 2.160 5.711
Pr 2.917 -2.160 1.899
Co 2.917 7.526 5.713
Co 2.917 -7.526 1.901
```

Output
The value obtained for the energy above the most stable polymorph in this dataset is 48 meV per atom. The calculation puts the calculated formation energy at 0.013 eV/atom.


2.
A plane-wave DFT calculation with GGA-PBE was carried out for crystalline Ba6SrCa4 at its relaxed geometry.

Structure (extended XYZ):
```
11
Lattice="13.224 0.000 0.000 -6.612 11.452 0.000 0.000 0.000 4.168" Properties=species:S:1:pos:R:3 pbc="T T T"
Ba 0.000 4.085 0.000
Ba -3.074 9.410 0.000
Ba 6.612 0.632 2.084
Ba 3.853 5.410 2.084
Ba 3.074 9.410 0.000
Ba 9.371 5.410 2.084
Sr 0.000 0.000 2.084
Ca 3.149 1.818 0.000
Ca 0.000 7.635 2.084
Ca 10.075 1.818 0.000
Ca 6.612 7.816 0.000
```

Output
The calculation puts the calculated formation energy at 0.112 eV/atom.


3.
A plane-wave DFT calculation with GGA-PBE was carried out for crystalline Ag2TeIrC at its relaxed geometry.

Structure (extended XYZ):
```
5
Lattice="5.273 0.000 0.000 0.000 5.273 0.000 0.000 0.000 4.937" Properties=species:S:1:pos:R:3 pbc="T T T"
Ag 0.000 2.637 0.000
Ag 2.637 0.000 0.000
Te 0.000 0.000 0.000
Ir 0.000 0.000 2.469
C 2.637 2.637 2.469
```

Output
For the raw formation energy, the calculation gives 2.182 eV/atom.


Number 1: calculated density 6.062 Mg/m³. Number 2: calculated density 2.820 Mg/m³. Number 3: calculated density 6.623 Mg/m³.